a:
VASP calculation (GGA-PBE) on CaCr2Fe after structural relaxation.

The structure belongs to space group P4/mmm (No. 123); the cell edges are 4.0913, 4.0913 and 4.0872 Å and the angles 90.00°, 90.00° and 90.00°. Symmetry generates all atoms from Ca at (0.0000, 0.0000, 0.0000), Cr at (0.0000, 0.5000, 0.5000) and Fe at (0.5000, 0.5000, 0.0000).

b:
VASP calculation (GGA-PBE) on CaCr2Fe after structural relaxation.

The structure belongs to space group Pmmm (No. 47); the cell edges are 3.1076, 4.5558 and 4.7378 Å and the angles 90.00°, 90.00° and 90.00°. Symmetry generates all atoms from Ca at (0.0000, 0.0000, 0.0000), Cr at (0.0000, 0.5000, 0.5000), Cr at (0.5000, 0.0000, 0.5000) and Fe at (0.5000, 0.5000, 0.0000).

Most stable: b. Least stable: a.